Computed, not measured: crystalline Ac2PmSn5 at its relaxed geometry at the PBE level of DFT.

Cell lengths 6.8498, 6.8498, 6.8498 Å; angles 113.21, 113.21, 102.23 degrees
Last column: nearest neighbours and their distance in Å.
Sites, in units of the cell vectors:
Ac: 0.0000 0.5000 0.5000  10 Sn 3.41-3.77
Ac: 0.5000 0.0000 0.5000  10 Sn 3.41-3.77
Pm: 0.3927 0.3927 0.0000  9 Sn 3.35-3.75
Sn: 0.0031 0.0031 0.0000  4 Sn 3.18, 1 Pm 3.35
Sn: 0.5314 0.5314 0.5791  3 Sn 3.17-3.18, 1 Pm 3.35, 4 Ac 3.41-3.49
Sn: 0.5314 0.9523 0.0000  3 Sn 3.17-3.18, 1 Pm 3.35, 4 Ac 3.41-3.49
Sn: 0.9523 0.5314 0.0000  3 Sn 3.17-3.18, 1 Pm 3.35, 4 Ac 3.41-3.49
Sn: 0.9523 0.9523 0.4209  3 Sn 3.17-3.18, 1 Pm 3.35, 4 Ac 3.41-3.49

Calculated values
For the total magnetization, the calculation gives 0.000 μB/atom. Its formation energy from the elements is -0.5944 eV/atom.

***

Computed, not measured: crystalline Ac3PmSn6 at its relaxed geometry at the PBE level of DFT.

Cell lengths 8.7592, 8.7592, 8.7592 Å; angles 97.31, 97.31, 97.31 degrees
Last column: nearest neighbours and their distance in Å.
Sites, in units of the cell vectors:
Ac: 0.1824 0.7500 0.3176  8 Sn 3.45-3.65
Ac: 0.2500 0.6824 0.8176  8 Sn 3.45-3.65
Ac: 0.3176 0.1824 0.7500  8 Sn 3.45-3.65
Ac: 0.6824 0.8176 0.2500  8 Sn 3.45-3.65
Ac: 0.7500 0.3176 0.1824  8 Sn 3.45-3.65
Ac: 0.8176 0.2500 0.6824  8 Sn 3.45-3.65
Pm: 0.0000 0.0000 0.0000  6 Sn 3.20
Pm: 0.5000 0.5000 0.5000  6 Sn 3.20
Sn: 0.0126 0.0882 0.3677  2 Sn 2.91-2.96, 1 Pm 3.20
Sn: 0.0882 0.3677 0.0126  2 Sn 2.91-2.96, 1 Pm 3.20
Sn: 0.1323 0.4118 0.4874  2 Sn 2.91-2.96, 1 Pm 3.20
Sn: 0.3677 0.0126 0.0882  2 Sn 2.91-2.96, 1 Pm 3.20
Sn: 0.4118 0.4874 0.1323  2 Sn 2.91-2.96, 1 Pm 3.20
Sn: 0.4874 0.1323 0.4118  2 Sn 2.91-2.96, 1 Pm 3.20
Sn: 0.5126 0.8677 0.5882  2 Sn 2.91-2.96, 1 Pm 3.20
Sn: 0.5882 0.5126 0.8677  2 Sn 2.91-2.96, 1 Pm 3.20
Sn: 0.6323 0.9874 0.9118  2 Sn 2.91-2.96, 1 Pm 3.20
Sn: 0.8677 0.5882 0.5126  2 Sn 2.91-2.96, 1 Pm 3.20
Sn: 0.9118 0.6323 0.9874  2 Sn 2.91-2.96, 1 Pm 3.20
Sn: 0.9874 0.9118 0.6323  2 Sn 2.91-2.96, 1 Pm 3.20

Calculated values
For the total magnetization, the calculation gives 0.000 μB/atom. Its formation energy from the elements is -0.6273 eV/atom.